Model i:
Material: TaRhCl
Method: DFT, GGA-PBEsol
State: optimized geometry

Its theoretical density is 11.7 g cm⁻³. The volume is 45.5 Å³/f.u.

The structure belongs to space group P-6m2 (No. 187); the cell edges are 4.2314, 4.2314 and 2.9332 Å and the angles 90.00°, 90.00° and 120.00°. The distinct sites, in fractional coordinates, are Ta at (0.0000, 0.0000, 0.0000), Rh at (0.3333, 0.6667, 0.5000) and Cl at (0.6667, 0.3333, 0.0000).


Model ii:
Material: TaRhCl
Method: DFT, GGA-PBEsol
State: optimized geometry

Its theoretical density is 9.9 g cm⁻³. The volume is 53.6 Å³/f.u.

The structure belongs to space group F-43m (No. 216); the cell edges are 5.9863, 5.9863 and 5.9863 Å and the angles 90.00°, 90.00° and 90.00°. The distinct sites, in fractional coordinates, are Ta at (0.0000, 0.0000, 0.0000), Rh at (0.2500, 0.2500, 0.7500) and Cl at (0.2500, 0.2500, 0.2500).


Relative energies, meV per atom: model i 0; model ii 332.